DFT (GGA-PBE) results for crystalline Sm5Dy8Mg at its relaxed geometry.

Calculated values
As for the calculated density: 7.468 Mg/m³. The density of states at the Fermi level comes out at 1.204 states/eV per atom. As for the energy of formation: 0.23 eV/atom. As for the symmetry: No. 82. As for the final energy: -0.1544 hartree per atom.

Cell: 8.4351 8.4353 8.4352 Å, 110.45 107.53 110.45°
With the nearest neighbours (Å) after each atom.
Positions (direct):
1 Sm 0.0241 0.3147 0.1317  8 Dy 3.34-3.60, 2 Sm 3.57
2 Sm 0.8683 0.8923 0.1830  8 Dy 3.34-3.60, 2 Sm 3.57
3 Sm 0.8170 0.6853 0.7093  8 Dy 3.34-3.60, 2 Sm 3.57
4 Sm 0.5000 0.0000 0.5000  8 Dy 3.13-3.34
5 Sm 0.2907 0.1077 0.9759  8 Dy 3.34-3.60, 2 Sm 3.57
6 Dy 0.1669 0.7296 0.0709  4 Sm 3.13-3.47, 1 Mg 3.16
7 Dy 0.9291 0.0960 0.6587  4 Sm 3.13-3.47, 1 Mg 3.16
8 Dy 0.7346 0.2576 0.3387  5 Sm 3.34-3.60, 4 Dy 3.59-3.68
9 Dy 0.6613 0.3959 0.9189  5 Sm 3.34-3.60, 4 Dy 3.59-3.68
10 Dy 0.5230 0.6041 0.2654  5 Sm 3.34-3.60, 4 Dy 3.59-3.68
11 Dy 0.5627 0.9040 0.8331  4 Sm 3.13-3.47, 1 Mg 3.16
12 Dy 0.3413 0.2704 0.4373  4 Sm 3.13-3.47, 1 Mg 3.16
13 Dy 0.0811 0.7424 0.4770  5 Sm 3.34-3.60, 4 Dy 3.59-3.68
14 Mg 0.2500 0.5000 0.7500  4 Dy 3.16